Entry 1:
Computed, not measured: a geometry-optimized Sr4Si structure at the GGA-PBE level of DFT.

The calculation puts the energy relative to the elements, uncorrected at 0.014 eV per atom. Its density of states at the Fermi level is 1.309 states/eV per atom. As for the energy: -24.16 eV for the cell shown. The value obtained for the energy above the most stable polymorph in this dataset is 0.54 eV per formula unit.

It has space group Im-3m (No. 229), with a = 7.576 Å, b = 7.576 Å, c = 7.576 Å, α = 90.00°, β = 90.00° and γ = 90.00°. Symmetry generates all atoms from Sr at (0.250, 0.250, 0.250) and Si at (0.000, 0.000, 0.000).

***

Entry 2:
Computed, not measured: a geometry-optimized V4Ge4Os structure at the GGA-PBE level of DFT.

Its density of states at the Fermi level is 1.074 states/eV per atom. The value obtained for the energy of formation is 1.578 eV/f.u. As for the energy: -129.19 eV for the cell shown.

It has space group I4/m (No. 87), with a = 7.467 Å, b = 7.467 Å, c = 4.819 Å, α = 90.00°, β = 90.00° and γ = 90.00°. Symmetry generates all atoms from V at (0.117, 0.203, 0.000), Ge at (0.053, 0.334, 0.500) and Os at (0.000, 0.000, 0.500).

***

Entry 3:
Computed, not measured: a geometry-optimized FeTcPd2 structure at the GGA-PBE level of DFT.

Its density of states at the Fermi level is 1.284 states/eV per atom. The value obtained for the energy of formation is 1.234 eV/f.u. As for the energy: -83.94 eV for the cell shown. The value obtained for the energy above the most stable polymorph in this dataset is 0.00 eV per formula unit.

It has space group R-3m (No. 166, hexagonal axes), with a = 2.6981 Å, b = 2.6981 Å, c = 28.5373 Å, α = 90.00°, β = 90.00° and γ = 120.00°. Symmetry generates all atoms from Fe at (0.0000, 0.0000, 0.0000), Tc at (0.0000, 0.0000, 0.5000) and Pd at (0.0000, 0.0000, 0.4090).

***

What did the first record say?
Computed, not measured: a geometry-optimized Sr4Si structure at the GGA-PBE level of DFT.

The calculation puts the energy relative to the elements, uncorrected at 0.014 eV per atom. Its density of states at the Fermi level is 1.309 states/eV per atom. As for the energy: -24.16 eV for the cell shown. The value obtained for the energy above the most stable polymorph in this dataset is 0.54 eV per formula unit.

It has space group Im-3m (No. 229), with a = 7.576 Å, b = 7.576 Å, c = 7.576 Å, α = 90.00°, β = 90.00° and γ = 90.00°. Symmetry generates all atoms from Sr at (0.250, 0.250, 0.250) and Si at (0.000, 0.000, 0.000).

***

What did the third record say?
Computed, not measured: a geometry-optimized FeTcPd2 structure at the GGA-PBE level of DFT.

Its density of states at the Fermi level is 1.284 states/eV per atom. The value obtained for the energy of formation is 1.234 eV/f.u. As for the energy: -83.94 eV for the cell shown. The value obtained for the energy above the most stable polymorph in this dataset is 0.00 eV per formula unit.

It has space group R-3m (No. 166, hexagonal axes), with a = 2.6981 Å, b = 2.6981 Å, c = 28.5373 Å, α = 90.00°, β = 90.00° and γ = 120.00°. Symmetry generates all atoms from Fe at (0.0000, 0.0000, 0.0000), Tc at (0.0000, 0.0000, 0.5000) and Pd at (0.0000, 0.0000, 0.4090).